{
  "formula": "MnTlCdB",
  "functional": "GGA-PBE",
  "state": "optimized geometry",
  "cell": [[4.700, 0.000, 0.000], [0.000, 3.157, 0.000], [0.000, 0.000, 10.526]],
  "species": ["Mn", "Mn", "Tl", "Tl", "Cd", "Cd", "B", "B"],
  "frac_coords": [[0.000, 0.000, 0.000], [0.000, 0.500, 0.500], [0.500, 0.000, 0.475], [0.500, 0.500, 0.975], [0.000, 0.000, 0.271], [0.000, 0.500, 0.771], [0.000, 0.000, 0.607], [0.000, 0.500, 0.107]],
  "e_above_lowest_polymorph_ev_per_atom": 0.2198,
  "ef_ev_per_atom": 0.52,
  "n_ef_per_ev_cell": 2.939
}